i:
Compound: Tl2CdBiH
Source: Alexandria
Functional: PBE-GGA
Structure: relaxed

Structure (POSCAR):
```
Tl2CdBiH
1.0
5.0762 0.0000 0.0000
0.0000 5.0762 0.0000
0.0000 0.0000 4.7624
H Tl Bi Cd
1 2 1 1
direct
0.0000 0.0000 0.0000 H
0.5000 0.0000 0.0000 Tl
0.0000 0.5000 0.0000 Tl
0.5000 0.5000 0.5000 Bi
0.0000 0.0000 0.5000 Cd
```

Size of the total moment = 0.000 μB/cell
Space group = P4/mmm

---

ii:
Compound: Tl2CdBiH
Source: Alexandria
Functional: PBE-GGA
Structure: relaxed

Structure (POSCAR):
```
Tl2CdBiH
1.0
5.4406 0.0000 0.0000
0.0000 5.4406 0.0000
0.0000 0.0000 4.3696
Cd Bi Tl H
1 1 2 1
direct
0.5000 0.5000 0.5000 Cd
0.0000 0.0000 0.5000 Bi
0.5000 0.0000 0.0000 Tl
0.0000 0.5000 0.0000 Tl
0.0000 0.0000 0.0000 H
```

Size of the total moment = 0.000 μB/cell
Space group = P4/mmm

---

i (0.022 eV/atom below the next structure)

---

i:
Compound: Hf3CdBi
Source: Alexandria
Functional: PBE-GGA
Structure: relaxed

Structure (POSCAR):
```
Hf3CdBi
1.0
5.1941 0.0000 0.0000
0.0000 5.1941 0.0000
0.0000 0.0000 5.1941
Hf Bi Cd
3 1 1
direct
0.0000 0.0000 0.5000 Hf
0.5000 0.0000 0.0000 Hf
0.0000 0.5000 0.0000 Hf
0.5000 0.5000 0.5000 Bi
0.0000 0.0000 0.0000 Cd
```

Size of the total moment = 0.000 μB/cell
Space group = Pm-3m

---

ii:
Compound: Hf3CdBi
Source: Alexandria
Functional: PBE-GGA
Structure: relaxed

Structure (POSCAR):
```
Hf3CdBi
1.0
-0.2187 2.0320 -4.9356
-5.3160 -0.5265 0.0188
-0.4793 4.9123 2.0436
Hf Cd Bi
3 1 1
direct
0.0000 0.5000 0.0000 Hf
0.5000 0.0000 0.0000 Hf
0.0000 0.0000 0.5000 Hf
0.5000 0.5000 0.5000 Cd
0.0000 0.0000 0.0000 Bi
```

Size of the total moment = 0.000 μB/cell
Space group = Pm-3m

---

i (0.270 eV/atom below the next structure)

---

i:
Compound: Hf2Cd2Bi
Source: Alexandria
Functional: PBE-GGA
Structure: relaxed

Structure (POSCAR):
```
Hf2Cd2Bi
1.0
7.4825 0.0000 0.0000
0.0000 7.4825 0.0000
0.0000 0.0000 4.4208
Hf Cd Bi
4 4 2
direct
0.6459 0.1459 0.0000 Hf
0.8541 0.6459 0.0000 Hf
0.1459 0.3541 0.0000 Hf
0.3541 0.8541 0.0000 Hf
0.1474 0.6474 0.5000 Cd
0.8526 0.3526 0.5000 Cd
0.3526 0.1474 0.5000 Cd
0.6474 0.8526 0.5000 Cd
0.5000 0.5000 0.0000 Bi
0.0000 0.0000 0.0000 Bi
```

Size of the total moment = 0.001 μB/cell
Space group = P4/mbm

---

ii:
Compound: Hf2Cd2Bi
Source: Alexandria
Functional: PBE-GGA
Structure: relaxed

Structure (POSCAR):
```
Hf2Cd2Bi
1.0
8.5572 0.0000 0.0000
0.0000 8.5572 0.0000
0.0000 0.0000 3.2723
Bi Cd Hf
2 4 4
direct
0.0000 0.0000 0.0000 Bi
0.5000 0.5000 0.0000 Bi
0.6221 0.1221 0.0000 Cd
0.8779 0.6221 0.0000 Cd
0.3779 0.8779 0.0000 Cd
0.1221 0.3779 0.0000 Cd
0.6734 0.8266 0.5000 Hf
0.3266 0.1734 0.5000 Hf
0.1734 0.6734 0.5000 Hf
0.8266 0.3266 0.5000 Hf
```

Size of the total moment = 0.000 μB/cell
Space group = P4/mbm

---

i (0.121 eV/atom below the next structure)

---

i:
Compound: HfCd3Bi
Source: Alexandria
Functional: PBE-GGA
Structure: relaxed

Structure (POSCAR):
```
HfCd3Bi
1.0
-1.6777 5.2761 0.3792
-4.8600 -1.3804 -2.2957
-2.0883 -1.0262 5.0380
Cd Bi Hf
3 1 1
direct
0.0000 0.0000 0.5000 Cd
0.0000 0.5000 0.0000 Cd
0.5000 0.0000 0.0000 Cd
0.0000 0.0000 0.0000 Bi
0.5000 0.5000 0.5000 Hf
```

Size of the total moment = 0.002 μB/cell
Space group = Pm-3m

---

ii:
Compound: HfCd3Bi
Source: Alexandria
Functional: PBE-GGA
Structure: relaxed

Structure (POSCAR):
```
HfCd3Bi
1.0
5.5129 0.0000 0.0000
0.0000 5.5129 0.0000
0.0000 0.0000 5.5129
Bi Cd Hf
1 3 1
direct
0.5000 0.5000 0.5000 Bi
0.0000 0.5000 0.0000 Cd
0.5000 0.0000 0.0000 Cd
0.0000 0.0000 0.5000 Cd
0.0000 0.0000 0.0000 Hf
```

Size of the total moment = 0.000 μB/cell
Space group = Pm-3m

---

ii (0.289 eV/atom below the next structure)